RbSmV2O8 PBE+U optimized geometry; uncorrected energy = -0.512 Ry per atom
1.0
5.989 0.000 0.000
-2.995 5.187 0.000
0.000 0.000 8.123
Rb Sm V O
1 1 2 8
Cartesian
0.000 0.000 0.000
0.000 0.000 4.061
0.000 3.458 6.073
2.995 1.729 2.049
-1.440 4.267 5.513
0.019 1.806 5.513
0.000 3.458 7.791
1.574 0.887 2.610
1.421 4.300 5.513
2.995 1.729 0.331
2.975 3.381 2.610
4.435 0.920 2.610